w:
A geometry-optimized PrHo7Tm4 structure. Source: Alexandria via LeMat-Bulk, functional GGA-PBE.

Output
**D(E_F)**: 1.70 states/eV/atom
**Magnetization**: 0.00 Bohr magnetons per cell

Cell: 5.8276 11.4325 6.6732 Å, 82.99 64.11 75.23°
Fractional coordinates of all 12 atoms:
Pr1 0.0000 0.0000 0.0000
Ho1 0.7891 0.9219 0.4999
Ho2 0.2109 0.0781 0.5001
Ho3 0.0578 0.6679 0.2164
Ho4 0.9422 0.3321 0.7836
Ho5 0.3650 0.5050 0.7650
Ho6 0.5000 0.0000 0.0000
Ho7 0.6350 0.4950 0.2350
Tm1 0.6304 0.2260 0.5133
Tm2 0.3696 0.7740 0.4867
Tm3 0.7473 0.6850 0.8204
Tm4 0.2527 0.3150 0.1796

x:
A geometry-optimized PrHo7Tm4 structure. Source: Alexandria via LeMat-Bulk, functional GGA-PBE.

Output
**D(E_F)**: 1.35 states/eV/atom
**Magnetization**: 0.00 Bohr magnetons per cell

Cell: 7.1164 9.4034 8.7556 Å, 81.12 90.05 40.90°
Fractional coordinates of all 12 atoms:
Pr1 0.0000 0.0000 0.0000
Ho1 0.7516 0.5003 0.0001
Ho2 0.2484 0.4997 0.9999
Ho3 0.9728 0.2794 0.6639
Ho4 0.0272 0.7206 0.3361
Ho5 0.2230 0.7774 0.6648
Ho6 0.5000 0.0000 0.0000
Ho7 0.7770 0.2226 0.3352
Tm1 0.5307 0.7210 0.3356
Tm2 0.4693 0.2790 0.6644
Tm3 0.7209 0.7793 0.6646
Tm4 0.2791 0.2207 0.3354

The structure with the least stability is w.

w:
A geometry-optimized Pr2Ho6Tm3 structure. Source: Alexandria via LeMat-Bulk, functional GGA-PBE.

Output
**D(E_F)**: 1.65 states/eV/atom
**Magnetization**: 0.00 Bohr magnetons per cell

Cell: 6.0762 6.0814 11.6822 Å, 84.99 79.93 60.03°
Fractional coordinates of all 11 atoms:
Pr1 0.1668 0.6665 0.5000
Pr2 0.8332 0.3335 0.5000
Ho1 0.4151 0.6665 0.7555
Ho2 0.7486 0.0000 0.7554
Ho3 0.0816 0.3335 0.7555
Ho4 0.2514 0.0000 0.2446
Ho5 0.5849 0.3335 0.2445
Ho6 0.9184 0.6665 0.2445
Tm1 0.0000 0.0000 0.0000
Tm2 0.3346 0.3308 0.0000
Tm3 0.6654 0.6692 0.0000

x:
A geometry-optimized Pr2Ho6Tm3 structure. Source: Alexandria via LeMat-Bulk, functional GGA-PBE.

Output
**D(E_F)**: 1.46 states/eV/atom
**Magnetization**: 0.00 Bohr magnetons per cell

Cell: 4.7184 4.7184 16.9137 Å, 98.02 98.02 90.00°
Fractional coordinates of all 11 atoms:
Pr1 0.4535 0.4535 0.9070
Pr2 0.5465 0.5465 0.0930
Ho1 0.1232 0.6232 0.2464
Ho2 0.6232 0.1232 0.2464
Ho3 0.8768 0.3768 0.7536
Ho4 0.3768 0.8768 0.7536
Ho5 0.6964 0.6964 0.3929
Ho6 0.3036 0.3036 0.6071
Tm1 0.0000 0.0000 0.0000
Tm2 0.7990 0.7990 0.5979
Tm3 0.2010 0.2010 0.4021

The structure with the least stability is x.

w:
A geometry-optimized Pr2Ho3Tm5 structure. Source: Alexandria via LeMat-Bulk, functional GGA-PBE.

Output
**D(E_F)**: 1.71 states/eV/atom
**Magnetization**: 0.00 Bohr magnetons per cell

Cell: 6.7329 12.2592 12.2592 Å, 44.97 74.06 74.06°
Fractional coordinates of all 20 atoms:
Pr1 0.1261 0.7685 0.9793
Pr2 0.8739 0.2315 0.0207
Pr3 0.6261 0.9793 0.7685
Pr4 0.3739 0.0207 0.2315
Ho1 0.2500 0.0000 0.0000
Ho2 0.7500 0.0000 0.0000
Ho3 0.3730 0.3783 0.8757
Ho4 0.6270 0.6217 0.1243
Ho5 0.8730 0.8757 0.3783
Ho6 0.1270 0.1243 0.6217
Tm1 0.2500 0.5000 0.5000
Tm2 0.7500 0.5000 0.5000
Tm3 0.5028 0.7472 0.7472
Tm4 0.9972 0.2528 0.2528
Tm5 0.4972 0.2528 0.2528
Tm6 0.0028 0.7472 0.7472
Tm7 0.1240 0.4607 0.2914
Tm8 0.8760 0.5393 0.7086
Tm9 0.6240 0.2914 0.4607
Tm10 0.3760 0.7086 0.5393

x:
A geometry-optimized Pr2Ho3Tm5 structure. Source: Alexandria via LeMat-Bulk, functional GGA-PBE.

Output
**D(E_F)**: 1.65 states/eV/atom
**Magnetization**: 0.00 Bohr magnetons per cell

Cell: 9.4121 9.3673 11.0963 Å, 125.50 125.59 68.03°
Fractional coordinates of all 20 atoms:
Pr1 0.7681 0.0337 0.7542
Pr2 0.2319 0.9663 0.2458
Pr3 0.4861 0.7206 0.7542
Pr4 0.5139 0.2794 0.2458
Ho1 0.2268 0.9768 0.9535
Ho2 0.7732 0.0232 0.0465
Ho3 0.7203 0.4878 0.2582
Ho4 0.2797 0.5122 0.7418
Ho5 0.0380 0.7704 0.2582
Ho6 0.9620 0.2296 0.7418
Tm1 0.2674 0.5174 0.0348
Tm2 0.7326 0.4826 0.9652
Tm3 0.0271 0.7771 0.5542
Tm4 0.5219 0.2719 0.5439
Tm5 0.9729 0.2229 0.4458
Tm6 0.4781 0.7281 0.4561
Tm7 0.8881 0.6307 0.7352
Tm8 0.1119 0.3693 0.2648
Tm9 0.3471 0.1046 0.7352
Tm10 0.6529 0.8954 0.2648

The structure with the least stability is w.

w:
A geometry-optimized PrHo3Tm2 structure. Source: Alexandria via LeMat-Bulk, functional GGA-PBE.

Output
**D(E_F)**: 1.28 states/eV/atom
**Magnetization**: 0.00 Bohr magnetons per cell

Cell: 7.1345 10.1329 7.1275 Å, 79.97 119.83 121.80°
Fractional coordinates of all 12 atoms:
Pr1 0.2518 0.0013 0.2504
Pr2 0.7482 0.9987 0.7496
Ho1 0.2509 0.0006 0.7505
Ho2 0.7491 0.9994 0.2495
Ho3 0.8029 0.6629 0.8606
Ho4 0.1968 0.3360 0.6389
Ho5 0.8032 0.6640 0.3611
Ho6 0.1971 0.3371 0.1394
Tm1 0.3020 0.6630 0.3599
Tm2 0.3022 0.6640 0.8609
Tm3 0.6978 0.3360 0.1391
Tm4 0.6980 0.3370 0.6401

x:
A geometry-optimized PrHo3Tm2 structure. Source: Alexandria via LeMat-Bulk, functional GGA-PBE.

Output
**D(E_F)**: 1.39 states/eV/atom
**Magnetization**: 0.00 Bohr magnetons per cell

Cell: 7.0857 6.1338 9.3734 Å, 89.84 112.21 90.00°
Fractional coordinates of all 12 atoms:
Pr1 0.8736 0.7500 0.0000
Pr2 0.1264 0.2500 0.0000
Ho1 0.6235 0.2500 0.0000
Ho2 0.3765 0.7500 0.0000
Ho3 0.0430 0.0850 0.3373
Ho4 0.7057 0.4150 0.6627
Ho5 0.2943 0.5850 0.3373
Ho6 0.9570 0.9150 0.6627
Tm1 0.7918 0.5822 0.3354
Tm2 0.5437 0.0822 0.3354
Tm3 0.4563 0.9178 0.6646
Tm4 0.2082 0.4178 0.6646

The structure with the least stability is x.

w:
A geometry-optimized PrHo2Tm2 structure. Source: Alexandria via LeMat-Bulk, functional GGA-PBE.

Output
**D(E_F)**: 1.81 states/eV/atom
**Magnetization**: 0.00 Bohr magnetons per cell

Cell: 3.4961 5.6919 8.6465 Å, 109.23 90.00 90.00°
Fractional coordinates of all 5 atoms:
Pr1 0.2000 0.0178 0.0356
Ho1 0.2000 0.3993 0.7984
Ho2 0.7000 0.5919 0.1840
Tm1 0.2000 0.7797 0.5593
Tm2 0.7000 0.2113 0.4227

x:
A geometry-optimized PrHo2Tm2 structure. Source: Alexandria via LeMat-Bulk, functional GGA-PBE.

Output
**D(E_F)**: 1.15 states/eV/atom
**Magnetization**: 0.02 Bohr magnetons per cell

Cell: 9.4142 9.4142 3.6516 Å, 90.00 90.00 90.00°
Fractional coordinates of all 10 atoms:
Pr1 0.0000 0.0000 0.0000
Pr2 0.5000 0.5000 0.0000
Ho1 0.3268 0.8268 0.5000
Ho2 0.8268 0.6732 0.5000
Ho3 0.6732 0.1732 0.5000
Ho4 0.1732 0.3268 0.5000
Tm1 0.1228 0.6228 0.0000
Tm2 0.6228 0.8772 0.0000
Tm3 0.8772 0.3772 0.0000
Tm4 0.3772 0.1228 0.0000

The structure with the least stability is w.

w:
A geometry-optimized PrHoTm4 structure. Source: Alexandria via LeMat-Bulk, functional GGA-PBE.

Output
**D(E_F)**: 1.71 states/eV/atom
**Magnetization**: 0.00 Bohr magnetons per cell

Cell: 6.5057 8.6468 8.5138 Å, 111.68 101.42 111.24°
Fractional coordinates of all 12 atoms:
Pr1 0.2612 0.0112 0.0223
Pr2 0.7388 0.9888 0.9777
Ho1 0.3363 0.5863 0.1725
Ho2 0.6637 0.4137 0.8275
Tm1 0.0638 0.1735 0.7455
Tm2 0.7528 0.7091 0.5982
Tm3 0.1817 0.5720 0.7455
Tm4 0.3454 0.8891 0.5982
Tm5 0.6546 0.1109 0.4018
Tm6 0.8183 0.4280 0.2545
Tm7 0.2472 0.2909 0.4018
Tm8 0.9362 0.8265 0.2545

x:
A geometry-optimized PrHoTm4 structure. Source: Alexandria via LeMat-Bulk, functional GGA-PBE.

Output
**D(E_F)**: 1.35 states/eV/atom
**Magnetization**: 0.00 Bohr magnetons per cell

Cell: 4.9742 7.9095 11.2008 Å, 148.16 89.96 108.35°
Fractional coordinates of all 6 atoms:
Pr1 0.5000 0.0000 0.5000
Ho1 0.0000 0.0000 0.0000
Tm1 0.8326 0.6656 0.5014
Tm2 0.1674 0.3344 0.4986
Tm3 0.3346 0.6696 0.0012
Tm4 0.6654 0.3304 0.9987

y:
A geometry-optimized PrHoTm4 structure. Source: Alexandria via LeMat-Bulk, functional GGA-PBE.

Output
**D(E_F)**: 1.95 states/eV/atom
**Magnetization**: 1.56 Bohr magnetons per cell

Cell: 6.5518 6.5518 6.5518 Å, 60.00 60.00 60.00°
Site moments in Bohr magnetons follow the coordinates.
Fractional coordinates of all 6 atoms:
Pr1 0.2500 0.2500 0.2500  0.41
Tm1 0.6256 0.6256 0.1233  0.11
Tm2 0.6256 0.1233 0.6256  0.11
Tm3 0.6256 0.6256 0.6256  0.11
Tm4 0.1233 0.6256 0.6256  0.11
Ho1 0.0000 0.0000 0.0000  0.02

The structure with the least stability is y.

w:
A geometry-optimized PrHo2Tm4 structure. Source: Alexandria via LeMat-Bulk, functional GGA-PBE.

Output
**D(E_F)**: 1.43 states/eV/atom
**Magnetization**: 0.00 Bohr magnetons per cell

Cell: 3.5028 9.3627 8.4266 Å, 121.49 78.02 111.94°
Fractional coordinates of all 7 atoms:
Pr1 0.0000 0.0000 0.0000
Ho1 0.3602 0.4301 0.1405
Ho2 0.6398 0.5699 0.8595
Tm1 0.4107 0.7054 0.5876
Tm2 0.8108 0.1666 0.7136
Tm3 0.5893 0.2946 0.4124
Tm4 0.1892 0.8334 0.2864

x:
A geometry-optimized PrHo2Tm4 structure. Source: Alexandria via LeMat-Bulk, functional GGA-PBE.

Output
**D(E_F)**: 1.61 states/eV/atom
**Magnetization**: 0.00 Bohr magnetons per cell

Cell: 9.4288 8.3316 8.6814 Å, 138.67 96.73 91.37°
Fractional coordinates of all 14 atoms:
Pr1 0.9882 0.3297 0.1067
Pr2 0.2543 0.8894 0.8239
Ho1 0.7629 0.5448 0.9857
Ho2 0.4853 0.8858 0.1942
Ho3 0.6278 0.2018 0.0903
Ho4 0.1305 0.5637 0.9394
Tm1 0.8357 0.1835 0.4295
Tm2 0.3536 0.5715 0.2947
Tm3 0.8975 0.7891 0.8360
Tm4 0.7085 0.8819 0.5503
Tm5 0.1906 0.2149 0.3748
Tm6 0.4128 0.2218 0.7385
Tm7 0.5444 0.5370 0.6354
Tm8 0.0580 0.9349 0.5006

The structure with the least stability is x.

w:
A geometry-optimized PrHo2Tm7 structure. Source: Alexandria via LeMat-Bulk, functional GGA-PBE.

Output
**D(E_F)**: 1.49 states/eV/atom
**Magnetization**: 0.00 Bohr magnetons per cell

Cell: 5.5424 9.1178 9.1178 Å, 123.30 90.00 90.00°
Fractional coordinates of all 10 atoms:
Pr1 0.0000 0.0000 0.0000
Ho1 0.5000 0.7027 0.2973
Ho2 0.5000 0.2973 0.7027
Tm1 0.0000 0.7859 0.2141
Tm2 0.0000 0.2141 0.7859
Tm3 0.5000 0.0609 0.2916
Tm4 0.5000 0.9391 0.7084
Tm5 0.5000 0.2916 0.0609
Tm6 0.5000 0.7084 0.9391
Tm7 0.5000 0.5000 0.5000

x:
A geometry-optimized PrHo2Tm7 structure. Source: Alexandria via LeMat-Bulk, functional GGA-PBE.

Output
**D(E_F)**: 1.68 states/eV/atom
**Magnetization**: 0.00 Bohr magnetons per cell

Cell: 6.4537 8.6160 8.9022 Å, 119.83 102.39 117.30°
Fractional coordinates of all 10 atoms:
Pr1 0.0000 0.0000 0.0000
Ho1 0.4393 0.6415 0.4188
Ho2 0.5607 0.3585 0.5812
Tm1 0.0930 0.8717 0.5285
Tm2 0.9070 0.1283 0.4715
Tm3 0.2742 0.7058 0.7655
Tm4 0.7258 0.2942 0.2345
Tm5 0.2286 0.7853 0.1552
Tm6 0.7714 0.2147 0.8448
Tm7 0.5000 0.5000 0.0000

The structure with the least stability is w.